Computed, not measured: a geometry-optimized SrScCd3 structure at the PBE level of DFT.

Unit cell a=5.533 b=5.533 c=5.533 alpha=90.00 beta=90.00 gamma=90.00
Sites, in units of the cell vectors:
Sc (0.000, 0.000, 0.000)
Sr (0.500, 0.500, 0.500)
Cd (0.000, 0.500, 0.000)
Cd (0.000, 0.000, 0.500)
Cd (0.500, 0.000, 0.000)

ΔE to the lowest computed polymorph: 0 meV per atom
E_form: 0.17 eV/atom
theoretical density: 4.6 Mg/m³
space-group type: Pm-3m (221)
total magnetization: 0.00 μB per cell
N(E_F): 6.2 states/eV per cell